No. 1
YAsSe2 | PBE-GGA | optimized geometry

a = 4.8466 Å, b = 4.8466 Å, c = 3.6873 Å
α = 90.00°, β = 90.00°, γ = 90.00°
With the nearest neighbours (Å) after each atom.
Fractional coordinates of all 4 atoms:
Y 0.0000 0.0000 0.0000  8 Se 3.04
As 0.5000 0.5000 0.0000  8 Se 3.04
Se 0.0000 0.5000 0.5000  4 As 3.04, 4 Y 3.04
Se 0.5000 0.0000 0.5000  4 As 3.04, 4 Y 3.04

Calculated values
**Energy relative to the elements, uncorrected**: -0.739 eV per atom
**Fermi-level density of states**: 1.4 states/eV/cell
**Space group**: P4/mmm (123)

=====

No. 2
YAsSe | PBE-GGA | optimized geometry

a = 3.8748 Å, b = 3.8748 Å, c = 6.2918 Å
α = 90.00°, β = 90.00°, γ = 120.00°
With the nearest neighbours (Å) after each atom.
Fractional coordinates of all 3 atoms:
Y 0.0000 0.0000 0.0000  3 Se 2.78, 3 As 3.02
As 0.6667 0.3333 0.3220  3 Y 3.02
Se 0.3333 0.6667 0.7378  3 Y 2.78

Calculated values
**Energy relative to the elements, uncorrected**: -0.674 eV per atom
**Fermi-level density of states**: 2.8 states/eV/cell
**Space group**: P3m1 (156)

=====

Repeat the second record exactly.
YAsSe | PBE-GGA | optimized geometry

a = 3.8748 Å, b = 3.8748 Å, c = 6.2918 Å
α = 90.00°, β = 90.00°, γ = 120.00°
With the nearest neighbours (Å) after each atom.
Fractional coordinates of all 3 atoms:
Y 0.0000 0.0000 0.0000  3 Se 2.78, 3 As 3.02
As 0.6667 0.3333 0.3220  3 Y 3.02
Se 0.3333 0.6667 0.7378  3 Y 2.78

Calculated values
**Energy relative to the elements, uncorrected**: -0.674 eV per atom
**Fermi-level density of states**: 2.8 states/eV/cell
**Space group**: P3m1 (156)

=====

Q: Which value of Fermi-level density of states does entry 1 give?
A: 1.4 states/eV/cell